A geometry-optimized Sr7W4O19 structure, computed with GGA+U.

Calculated total energy   -213.146 eV per formula unit
Space-group type   C2/m (12)

Lattice parameters (Å, degrees): 7.530 7.530 10.606 82.49 82.49 44.32
Positions (direct):
1 Sr 0.210 0.210 0.415
2 Sr 0.500 0.500 0.500
3 Sr 0.414 0.414 0.160
4 Sr 0.141 0.141 0.044
5 Sr 0.790 0.790 0.585
6 Sr 0.586 0.586 0.840
7 Sr 0.859 0.859 0.956
8 O 0.368 0.874 0.631
9 O 0.956 0.956 0.143
10 O 0.598 0.598 0.073
11 O 0.632 0.126 0.369
12 O 0.687 0.168 0.713
13 O 0.168 0.687 0.713
14 O 0.000 0.000 0.500
15 O 0.044 0.044 0.857
16 O 0.485 0.002 0.848
17 O 0.402 0.402 0.927
18 O 0.303 0.303 0.611
19 O 0.002 0.485 0.848
20 O 0.126 0.632 0.369
21 O 0.998 0.515 0.152
22 O 0.874 0.368 0.631
23 O 0.313 0.832 0.287
24 O 0.515 0.998 0.152
25 O 0.697 0.697 0.389
26 O 0.832 0.313 0.287
27 W 0.966 0.966 0.319
28 W 0.034 0.034 0.681
29 W 0.673 0.673 0.218
30 W 0.327 0.327 0.782